Density functional theory data (PBE) for a relaxed structure of MgAgS2O6.

Lattice parameters (Å, degrees): 4.5958 4.5958 13.6181 101.88 101.88 70.12
Fractional positions:
O1 0.3611 0.7928 0.8721
O2 0.2637 0.2368 0.7262
Ag1 0.0000 0.0000 0.5000
O3 0.3306 0.8329 0.3719
Mg1 0.9820 0.0180 0.2500
S1 0.7106 0.6820 0.8718
S2 0.2894 0.3180 0.1282
O4 0.6389 0.2072 0.1279
O5 0.7928 0.3611 0.3721
O6 0.7363 0.7632 0.2738
O7 0.2072 0.6389 0.6279
Mg2 0.0180 0.9820 0.7500
S3 0.3180 0.2894 0.6282
Ag2 0.0000 0.0000 0.0000
O8 0.8329 0.3306 0.8720
O9 0.2368 0.2637 0.2262
O10 0.1671 0.6694 0.1280
O11 0.7632 0.7363 0.7738
S4 0.6820 0.7106 0.3718
O12 0.6694 0.1671 0.6281

Properties
VASP energy ... -5.56 eV per atom
Crystal system ... monoclinic
Mass density ... 3.71 g cm⁻³
SG ... C2/c, No. 15

=====

Density functional theory data (PBE) for a relaxed structure of MgAgSO.

Lattice parameters (Å, degrees): 5.7866 3.2356 13.9086 90.00 90.00 90.00
Fractional positions:
O1 0.2202 0.7500 0.6490
Mg1 0.2276 0.7500 0.0762
S1 0.7759 0.7500 0.0776
O2 0.7798 0.2500 0.3510
S2 0.7241 0.2500 0.5776
Ag1 0.8662 0.7500 0.7086
Mg2 0.2724 0.2500 0.5762
Ag2 0.3662 0.7500 0.7914
Ag3 0.6338 0.2500 0.2086
S3 0.2759 0.7500 0.4224
Ag4 0.1338 0.2500 0.2914
Mg3 0.7276 0.7500 0.4238
O3 0.2798 0.2500 0.1490
S4 0.2241 0.2500 0.9224
Mg4 0.7724 0.2500 0.9238
O4 0.7202 0.7500 0.8510

Properties
Energy relative to the lowest polymorph listed for this composition ... 250.2 meV per atom
VASP energy ... -4.22 eV per atom
Crystal system ... orthorhombic
Mass density ... 4.60 g cm⁻³
SG ... Pnma, No. 62

=====

Density functional theory data (PBE) for a relaxed structure of MgAgSO.

Lattice parameters (Å, degrees): 6.8815 6.8815 5.1894 90.00 90.00 147.74
Fractional positions:
O1 0.4309 0.5691 0.5218
S1 0.8200 0.1800 0.9937
Ag1 0.8356 0.1644 0.4821
O2 0.5691 0.4309 0.0218
S2 0.1800 0.8200 0.4937
Ag2 0.1644 0.8356 0.9821
Mg1 0.4327 0.5673 0.8950
Mg2 0.5673 0.4327 0.3950

Properties
Energy relative to the lowest polymorph listed for this composition ... 201.7 meV per atom
VASP energy ... -4.27 eV per atom
Crystal system ... orthorhombic
Mass density ... 4.56 g cm⁻³
SG ... Cmc2_1, No. 36

=====

Density functional theory data (PBE) for a relaxed structure of MgAgSO.

Lattice parameters (Å, degrees): 3.9109 3.9109 8.4160 90.00 90.00 90.00
Fractional positions:
Mg1 0.7500 0.7500 0.2749
S1 0.2500 0.2500 0.3183
Ag1 0.7500 0.2500 0.0000
S2 0.7500 0.7500 0.6817
Mg2 0.2500 0.2500 0.7251
O1 0.7500 0.7500 0.4971
O2 0.2500 0.2500 0.5029
Ag2 0.2500 0.7500 0.0000

Properties
Energy relative to the lowest polymorph listed for this composition ... 509.8 meV per atom
VASP energy ... -3.96 eV per atom
Crystal system ... tetragonal
Mass density ... 4.65 g cm⁻³
SG ... P4/nmm, No. 129

=====

Density functional theory data (PBE) for a relaxed structure of MgAgSO.

Lattice parameters (Å, degrees): 6.1416 12.9138 6.7667 90.00 90.00 90.00
Fractional positions:
Ag1 0.2845 0.5671 0.5193
Ag2 0.2155 0.0671 0.5193
O1 0.7868 0.7440 0.1051
O2 0.7132 0.2440 0.1051
Ag3 0.2155 0.4329 0.0193
O3 0.7132 0.2560 0.6051
Mg1 0.5402 0.2722 0.8578
Mg2 0.4598 0.7722 0.6422
Ag4 0.7155 0.0671 0.9807
Ag5 0.7845 0.9329 0.4807
S1 0.0027 0.4847 0.7224
S2 0.4973 0.9847 0.7224
S3 0.5027 0.0153 0.2776
Ag6 0.7155 0.4329 0.4807
S4 0.9973 0.9847 0.7776
Mg3 0.9598 0.7278 0.3578
O4 0.7868 0.7560 0.6051
Ag7 0.7845 0.5671 0.9807
Mg4 0.0402 0.2722 0.6422
Mg5 0.9598 0.7722 0.8578
O5 0.2132 0.2440 0.3949
Mg6 0.5402 0.2278 0.3578
S5 0.0027 0.0153 0.2224
S6 0.9973 0.5153 0.2776
O6 0.2868 0.7560 0.8949
Mg7 0.0402 0.2278 0.1422
Ag8 0.2845 0.9329 0.0193
S7 0.5027 0.4847 0.7776
O7 0.2868 0.7440 0.3949
O8 0.2132 0.2560 0.8949
S8 0.4973 0.5153 0.2224
Mg8 0.4598 0.7278 0.1422

Properties
Energy relative to the lowest polymorph listed for this composition ... 101.4 meV per atom
VASP energy ... -4.37 eV per atom
Crystal system ... orthorhombic
Mass density ... 4.46 g cm⁻³
SG ... Pbca, No. 61

=====

Density functional theory data (PBE) for a relaxed structure of MgAgSO.

Lattice parameters (Å, degrees): 7.0851 7.0851 5.9092 90.00 90.00 26.13
Fractional positions:
O1 0.9004 0.9004 0.0268
O2 0.0996 0.0996 0.5268
Ag1 0.9567 0.9567 0.3786
S1 0.3255 0.3255 0.5284
Mg1 0.6720 0.6720 0.4588
Ag2 0.0433 0.0433 0.8786
Mg2 0.3280 0.3280 0.9588
S2 0.6745 0.6745 0.0284

Properties
Energy relative to the lowest polymorph listed for this composition ... 241.4 meV per atom
VASP energy ... -4.23 eV per atom
Crystal system ... orthorhombic
Mass density ... 4.58 g cm⁻³
SG ... Cmc2_1, No. 36

=====

Density functional theory data (PBE) for a relaxed structure of MgAgSO.

Lattice parameters (Å, degrees): 7.2330 6.4978 5.7050 90.00 90.00 90.00
Fractional positions:
O1 0.1312 0.4778 0.7415
S1 0.1072 0.9260 0.2756
Ag1 0.5924 0.3109 0.0390
O2 0.3688 0.5222 0.2415
Mg1 0.3210 0.3806 0.5311
Ag2 0.0924 0.1891 0.9610
O3 0.6312 0.0222 0.2585
S2 0.8928 0.4260 0.2244
S3 0.3928 0.0740 0.7756
O4 0.8688 0.9778 0.7585
Mg2 0.8210 0.1194 0.4689
Mg3 0.6790 0.8806 0.9689
Ag3 0.4076 0.8109 0.4610
S4 0.6072 0.5740 0.7244
Mg4 0.1790 0.6194 0.0312
Ag4 0.9076 0.6891 0.5390

Properties
Energy relative to the lowest polymorph listed for this composition ... 187.7 meV per atom
VASP energy ... -4.28 eV per atom
Crystal system ... orthorhombic
Mass density ... 4.46 g cm⁻³
SG ... P2_12_12_1, No. 19

=====

Density functional theory data (PBE) for a relaxed structure of MgAgSO.

Lattice parameters (Å, degrees): 2.8453 5.4385 7.6740 90.00 79.32 90.00
Fractional positions:
S1 0.8074 0.7500 0.3853
Mg1 0.4706 0.7500 0.0587
O1 0.0000 0.5000 0.0000
Mg2 0.5294 0.2500 0.9413
O2 0.0000 0.0000 0.0000
Ag1 0.1596 0.7500 0.6808
Ag2 0.8404 0.2500 0.3192
S2 0.1926 0.2500 0.6147

Properties
Energy relative to the lowest polymorph listed for this composition ... 123.2 meV per atom
VASP energy ... -4.35 eV per atom
Crystal system ... orthorhombic
Mass density ... 5.13 g cm⁻³
SG ... Cmcm, No. 63

=====

Density functional theory data (PBE) for a relaxed structure of MgAgSO.

Lattice parameters (Å, degrees): 5.1746 3.8353 13.1930 90.00 90.00 90.00
Fractional positions:
Ag1 0.2471 0.7500 0.0837
O1 0.2195 0.7500 0.6794
S1 0.2424 0.2500 0.9277
S2 0.7576 0.7500 0.0723
O2 0.2805 0.2500 0.1793
Ag2 0.7529 0.2500 0.9163
Ag3 0.7471 0.7500 0.4163
O3 0.7805 0.2500 0.3207
Mg1 0.6552 0.2500 0.1839
O4 0.7195 0.7500 0.8207
Mg2 0.3448 0.7500 0.8161
S3 0.7424 0.2500 0.5723
Mg3 0.8448 0.7500 0.6839
Mg4 0.1552 0.2500 0.3161
Ag4 0.2529 0.2500 0.5837
S4 0.2576 0.7500 0.4277

Properties
Energy relative to the lowest polymorph listed for this composition ... 201.9 meV per atom
VASP energy ... -4.27 eV per atom
Crystal system ... orthorhombic
Mass density ... 4.57 g cm⁻³
SG ... Pnma, No. 62

=====

Density functional theory data (PBE) for a relaxed structure of MgAgSO.

Lattice parameters (Å, degrees): 3.5376 5.7236 6.3754 90.00 73.89 90.00
Fractional positions:
O1 0.0000 0.0000 0.0000
S1 0.2476 0.2500 0.5047
Ag1 0.4047 0.7500 0.1907
O2 0.0000 0.5000 0.0000
S2 0.7524 0.7500 0.4953
Ag2 0.5953 0.2500 0.8093
Mg1 0.1070 0.7500 0.7859
Mg2 0.8930 0.2500 0.2141

Properties
Energy relative to the lowest polymorph listed for this composition ... 369.9 meV per atom
VASP energy ... -4.10 eV per atom
Crystal system ... orthorhombic
Mass density ... 4.83 g cm⁻³
SG ... Cmcm, No. 63

=====

Density functional theory data (PBE) for a relaxed structure of MgAgSO.

Lattice parameters (Å, degrees): 5.1359 9.3380 5.0579 90.00 90.00 90.00
Fractional positions:
Ag1 0.5001 0.1101 0.0624
O1 0.5000 0.1225 0.5622
S1 0.0000 0.3687 0.5627
O2 0.0000 0.8775 0.5622
S2 0.5001 0.3686 0.0627
S3 0.0000 0.6313 0.0627
S4 0.4999 0.6314 0.5627
O3 0.0000 0.1225 0.0622
O4 0.5000 0.8775 0.0622
Mg1 0.0000 0.3328 0.0627
Mg2 0.4999 0.3328 0.5627
Mg3 0.5001 0.6672 0.0627
Ag2 0.4999 0.8899 0.5624
Ag3 0.0000 0.8899 0.0624
Mg4 0.0000 0.6672 0.5627
Ag4 0.0000 0.1101 0.5624

Properties
Energy relative to the lowest polymorph listed for this composition ... 340.9 meV per atom
VASP energy ... -4.13 eV per atom
Crystal system ... orthorhombic
Mass density ... 4.94 g cm⁻³
SG ... Cmme, No. 67

=====

Density functional theory data (PBE) for a relaxed structure of MgAgSO.

Lattice parameters (Å, degrees): 6.0183 7.3933 6.7300 90.00 90.00 90.00
Fractional positions:
Mg1 0.8019 0.7059 0.4185
Ag1 0.1452 0.2735 0.5836
Ag2 0.8548 0.7735 0.9164
Mg2 0.1981 0.2059 0.0815
O1 0.5108 0.2031 0.1241
Mg3 0.3019 0.7941 0.5815
Ag3 0.6452 0.2265 0.4164
S1 0.9588 0.4073 0.3058
Mg4 0.6981 0.2941 0.9185
S2 0.0412 0.9073 0.1942
S3 0.4588 0.0927 0.6942
O2 0.4892 0.7031 0.3759
S4 0.5412 0.5927 0.8058
O3 0.0108 0.2969 0.8759
O4 0.9892 0.7969 0.6241
Ag4 0.3548 0.7265 0.0836

Properties
Energy relative to the lowest polymorph listed for this composition ... 268.1 meV per atom
VASP energy ... -4.20 eV per atom
Crystal system ... orthorhombic
Mass density ... 4.00 g cm⁻³
SG ... P2_12_12_1, No. 19

=====

Density functional theory data (PBE) for a relaxed structure of MgAgSO.

Lattice parameters (Å, degrees): 7.0673 10.0042 7.1237 90.00 90.00 90.00
Fractional positions:
Mg1 0.7499 0.0425 0.0071
Ag1 0.0010 0.7618 0.7494
O1 0.2506 0.7349 0.4280
S1 0.0000 0.4868 0.2501
O2 0.7506 0.7651 0.5720
S2 0.5000 0.9868 0.2501
Mg2 0.2499 0.4575 0.9929
Mg3 0.2501 0.5425 0.4929
O3 0.2494 0.2651 0.9280
Ag2 0.5010 0.7382 0.2506
Ag3 0.0010 0.7382 0.2494
O4 0.7506 0.7349 0.0720
S3 0.5000 0.4868 0.2499
Ag4 0.9990 0.2618 0.7506
Ag5 0.9990 0.2382 0.2506
S4 0.0000 0.9868 0.2499
Mg4 0.2501 0.9575 0.9929
O5 0.2494 0.2349 0.4280
Mg5 0.7501 0.9575 0.5071
Ag6 0.4990 0.2382 0.2494
S5 0.0000 0.5132 0.7499
Ag7 0.4990 0.2618 0.7494
O6 0.2506 0.7651 0.9280
Mg6 0.7499 0.4575 0.5071
Mg7 0.7501 0.5425 0.0071
Ag8 0.5010 0.7618 0.7506
S6 0.0000 0.0132 0.7501
Mg8 0.2499 0.0425 0.4929
O7 0.7494 0.2349 0.0720
S7 0.5000 0.0132 0.7499
S8 0.5000 0.5132 0.7501
O8 0.7494 0.2651 0.5720

Properties
Energy relative to the lowest polymorph listed for this composition ... 274.2 meV per atom
VASP energy ... -4.20 eV per atom
Crystal system ... orthorhombic
Mass density ... 4.75 g cm⁻³
SG ... Pbca, No. 61

=====

Density functional theory data (PBE) for a relaxed structure of MgAgSO.

Lattice parameters (Å, degrees): 3.8973 3.8973 9.6141 90.00 90.00 90.00
Fractional positions:
Mg1 0.7500 0.7500 0.1230
O1 0.7500 0.2500 0.5000
Mg2 0.2500 0.2500 0.8770
Ag1 0.7500 0.7500 0.5919
S1 0.7500 0.7500 0.8653
S2 0.2500 0.2500 0.1347
Ag2 0.2500 0.2500 0.4081
O2 0.2500 0.7500 0.5000

Properties
Energy relative to the lowest polymorph listed for this composition ... 650.9 meV per atom
VASP energy ... -3.82 eV per atom
Crystal system ... tetragonal
Mass density ... 4.10 g cm⁻³
SG ... P4/nmm, No. 129

=====

Density functional theory data (PBE) for a relaxed structure of MgAgSO.

Lattice parameters (Å, degrees): 3.7091 3.7091 9.2691 90.00 90.00 90.00
Fractional positions:
Ag1 0.2500 0.2500 0.8506
O1 0.7500 0.2500 0.5000
Mg1 0.2500 0.2500 0.4294
Ag2 0.7500 0.7500 0.1494
Mg2 0.7500 0.7500 0.5706
S1 0.2500 0.2500 0.1574
S2 0.7500 0.7500 0.8426
O2 0.2500 0.7500 0.5000

Properties
Energy relative to the lowest polymorph listed for this composition ... 48.1 meV per atom
VASP energy ... -4.42 eV per atom
Crystal system ... tetragonal
Mass density ... 4.69 g cm⁻³
SG ... P4/nmm, No. 129

=====

Density functional theory data (PBE) for a relaxed structure of MgAgSO.

Lattice parameters (Å, degrees): 4.4100 4.4100 7.1124 90.00 90.00 90.00
Fractional positions:
Ag1 0.7500 0.7500 0.2372
O1 0.7500 0.7500 0.5429
Mg1 0.2500 0.7500 0.0000
Ag2 0.2500 0.2500 0.7628
O2 0.2500 0.2500 0.4571
S1 0.2500 0.2500 0.2408
S2 0.7500 0.7500 0.7592
Mg2 0.7500 0.2500 0.0000

Properties
Energy relative to the lowest polymorph listed for this composition ... 821.1 meV per atom
VASP energy ... -3.65 eV per atom
Crystal system ... tetragonal
Mass density ... 4.33 g cm⁻³
SG ... P4/nmm, No. 129

=====

Density functional theory data (PBE) for a relaxed structure of MgScAgO3.

Lattice parameters (Å, degrees): 2.8621 5.6240 9.2525 89.92 89.70 80.13
Fractional positions:
O1 0.2976 0.0820 0.9209
O2 0.5094 0.4055 0.3414
O3 0.3925 0.7384 0.1262
Sc1 0.8910 0.8107 0.9613
O4 0.4958 0.5942 0.8416
Ag1 0.4390 0.2553 0.1220
Mg1 0.9122 0.6648 0.2777
O5 0.6066 0.2605 0.6261
Sc2 0.1073 0.1892 0.4614
O6 0.6986 0.9181 0.4209
Ag2 0.5617 0.7460 0.6227
Mg2 0.0882 0.3353 0.7778

Properties
VASP energy ... -6.52 eV per atom
Crystal system ... triclinic
Mass density ... 5.10 g cm⁻³
Total magnetization ... 0.00 μB/atom
SG ... P1, No. 1

=====

Density functional theory data (PBE) for a relaxed structure of Mg3Si2Ag4O9.

Lattice parameters (Å, degrees): 5.4496 5.4676 9.2151 91.14 90.34 119.28
Fractional positions:
O1 0.1089 0.8713 0.2166
O2 0.0065 0.4974 0.9883
Si1 0.6692 0.3372 0.9500
O3 0.4984 0.0072 0.9936
Ag1 0.4818 0.4866 0.4070
O4 0.0112 0.0155 0.1308
Ag2 0.9879 0.9948 0.4447
O5 0.8925 0.1421 0.2185
Si2 0.3400 0.6728 0.9499
O6 0.0027 0.9939 0.7604
O7 0.3409 0.6621 0.7678
Mg1 0.6827 0.6739 0.6804
O8 0.6586 0.3297 0.7679
Ag3 0.4962 0.9947 0.3945
O9 0.5133 0.5143 0.0063
Mg2 0.3204 0.9889 0.6790
Mg3 0.9974 0.3147 0.6897
Ag4 0.9912 0.5029 0.4184

Properties
VASP energy ... -5.33 eV per atom
Crystal system ... triclinic
Mass density ... 4.89 g cm⁻³
SG ... P1, No. 1

=====

Density functional theory data (PBE) for a relaxed structure of SmMgAgO3.

Lattice parameters (Å, degrees): 8.5145 8.5145 7.5088 90.00 90.00 157.81
Site moments in Bohr magnetons follow the coordinates.
Fractional positions:
O1 0.6165 0.3835 0.6496  0.00
Ag1 0.8927 0.1073 0.7500  0.01
O2 0.3835 0.6165 0.1496  0.00
O3 0.6165 0.3835 0.8504  0.00
Sm1 0.5000 0.5000 0.5000  0.08
Sm2 0.5000 0.5000 0.0000  0.09
O4 0.3835 0.6165 0.3504  0.00
O5 0.7124 0.2876 0.2500  0.00
Ag2 0.1073 0.8927 0.2500  0.01
Mg1 0.7265 0.2735 0.7500  0.00
Mg2 0.2735 0.7265 0.2500  0.00
O6 0.2876 0.7124 0.7500  0.00

Properties
VASP energy ... -5.12 eV per atom
Crystal system ... orthorhombic
Mass density ... 5.34 g cm⁻³
Total magnetization ... 0.02 μB/atom
SG ... Cmcm, No. 63